1.
Here is a relaxed SnBiP crystal from Alexandria. Energies are from GGA-PBE.

Unit cell a=4.913 b=4.923 c=7.725 alpha=77.75 beta=77.17 gamma=71.11
Element x y z (fractional)
Bi 0.177 0.179 0.075
Bi 0.823 0.821 0.925
Sn 0.597 0.597 0.649
Sn 0.403 0.403 0.351
P 0.918 0.915 0.409
P 0.082 0.085 0.591

Values from the calculation:
Space-group type ... P-1 (2)
Volume ... 28.393 A^3/atom
Energy of formation ... 0.10 eV/atom
DOS at the Fermi energy ... 0.40 states/eV/atom

2.
Here is a relaxed LaTmCu2Se4 crystal from Alexandria. Energies are from GGA-PBE.

Unit cell a=6.775 b=6.345 c=6.345 alpha=68.36 beta=57.73 gamma=57.73
Element x y z (fractional)
Se 0.456 0.090 0.518
Se 0.936 0.518 0.090
Se 0.064 0.910 0.482
Se 0.544 0.482 0.910
Cu 0.157 0.343 0.343
Cu 0.843 0.657 0.657
La 0.000 0.000 0.000
Tm 0.500 0.500 0.500

Values from the calculation:
Space-group type ... I222 (23)
Energy relative to the elements, uncorrected ... -1.116 eV per atom
Volume ... 24.208 A^3/atom
DOS at the Fermi energy ... 0.05 states/eV/atom

3.
Here is a relaxed Cs2CN2 crystal from Alexandria. Energies are from GGA-PBE.

Unit cell a=8.301 b=8.301 c=4.045 alpha=90.00 beta=90.00 gamma=90.00
Element x y z (fractional)
Cs 0.734 0.766 0.500
Cs 0.234 0.734 0.500
Cs 0.266 0.234 0.500
Cs 0.766 0.266 0.500
N 0.450 0.950 0.000
N 0.050 0.450 0.000
N 0.550 0.050 0.000
N 0.950 0.550 0.000
C 0.500 0.500 0.000
C 0.000 0.000 0.000

Values from the calculation:
Space-group type ... P4/mbm (127)
Energy relative to the elements, uncorrected ... 0.842 eV per atom
Volume ... 27.876 A^3/atom
DOS at the Fermi energy ... 0.40 states/eV/atom

4.
Here is a relaxed GePtS2Cl crystal from Alexandria. Energies are from GGA-PBE.

Unit cell a=4.759 b=4.759 c=4.561 alpha=90.00 beta=90.00 gamma=90.00
Element x y z (fractional)
S 0.500 0.000 0.000
S 0.000 0.500 0.000
Cl 0.000 0.000 0.500
Ge 0.000 0.000 0.000
Pt 0.500 0.500 0.500

Values from the calculation:
Space-group type ... P4/mmm (123)
Energy relative to the elements, uncorrected ... 0.758 eV per atom
Volume ... 20.665 A^3/atom
DOS at the Fermi energy ... 1.01 states/eV/atom

5.
Here is a relaxed CaTi3W crystal from Alexandria. Energies are from GGA-PBE.

Unit cell a=4.906 b=4.906 c=4.906 alpha=90.00 beta=90.00 gamma=90.00
Element x y z (fractional)
Ca 0.500 0.500 0.500
Ti 0.500 0.000 0.000
Ti 0.000 0.500 0.000
Ti 0.000 0.000 0.500
W 0.000 0.000 0.000

Values from the calculation:
Space-group type ... Pm-3m (221)
Volume ... 23.617 A^3/atom
Energy of formation ... 0.65 eV/atom
DOS at the Fermi energy ... 1.56 states/eV/atom

6.
Here is a relaxed Ca2ZnMo crystal from Alexandria. Energies are from GGA-PBE.

Unit cell a=8.078 b=8.078 c=6.452 alpha=51.24 beta=51.24 gamma=90.00
Element x y z (fractional)
Ca 0.875 0.859 0.750
Ca 0.141 0.625 0.250
Ca 0.375 0.391 0.750
Ca 0.609 0.125 0.250
Zn 0.250 0.750 0.500
Zn 0.500 0.500 0.000
Mo 0.000 0.000 0.000
Mo 0.750 0.250 0.500

Values from the calculation:
Space-group type ... I-42d (122)
Volume ... 24.471 A^3/atom
Energy of formation ... 0.79 eV/atom
DOS at the Fermi energy ... 0.93 states/eV/atom

- volume of number 6 (Ca2ZnMo)?
  24.471 A^3/atom